VASP calculation (PBE) on a relaxed structure of LaSbRh3.

**Electronic total energy**: -0.461 Ry per atom
**Offset from the most stable computed form**: 0.551 eV/atom
**Calculated density**: 8179 kg/m³
**Space group**: Pm-3m, No. 221

```
LaSbRh3
1.0
-2.297 3.445 2.566
-2.724 1.082 -3.891
-3.322 -3.270 1.416
Sb Rh La
1 3 1
direct
0.000 0.000 0.000
0.000 0.500 0.000
0.000 0.000 0.500
0.500 0.000 0.000
0.500 0.500 0.500
```

---

VASP calculation (PBE) on a relaxed structure of Ac2PI.

**Electronic total energy**: -0.376 Ry per atom
**Offset from the most stable computed form**: 0.009 eV/atom
**Calculated density**: 7306 kg/m³
**Space group**: R3m, No. 160

```
Ac2PI
1.0
4.366 0.000 0.000
2.183 3.781 0.000
2.183 1.260 8.426
Ac P I
2 1 1
direct
0.066 0.066 0.803
0.268 0.268 0.197
0.668 0.668 0.997
0.499 0.499 0.503
```